No. 1
A plane-wave DFT calculation with GGA-PBE was carried out for a relaxed structure of Nd4Ni2Bi.

Geometry as extended XYZ:
```
14
Lattice="-3.888 5.065 4.832 5.481 -4.368 3.873 3.821 4.361 -5.575" Properties=species:S:1:pos:R:3 pbc="T T T"
Nd 2.718 4.073 -2.320
Nd -1.020 5.571 3.503
Nd 2.169 0.755 2.573
Nd 2.276 4.434 2.991
Nd 5.452 3.158 0.249
Nd 0.606 6.433 0.141
Nd -0.403 3.111 0.592
Nd 0.489 2.131 5.766
Ni 3.306 1.231 4.953
Ni 2.505 4.001 0.351
Ni 5.221 2.256 -2.269
Ni -0.206 2.628 3.221
Bi 5.048 0.171 1.322
Bi 5.413 5.058 3.126
```

## Properties
The value obtained for the magnetization is 0.00 μB/f.u. The final energy is -5.26 eV per atom. The crystal system is orthorhombic. As for the symmetry: No. 43.

=====

No. 2
A plane-wave DFT calculation with GGA-PBE was carried out for a relaxed structure of PmNd5Dy6.

Geometry as extended XYZ:
```
12
Lattice="11.806 -1.163 0.000 1.698 6.033 0.000 0.849 3.017 5.427" Properties=species:S:1:pos:R:3 pbc="T T T"
Nd 6.752 2.435 0.000
Nd 7.600 5.452 1.809
Nd 1.698 6.033 3.618
Nd 6.752 2.435 3.618
Nd 0.849 3.017 1.809
Dy 3.374 1.219 0.000
Dy 10.129 3.651 0.000
Dy 9.280 0.633 1.808
Dy 4.223 4.238 1.808
Dy 5.072 7.254 3.619
Dy 10.129 3.649 3.619
Pm 0.000 0.000 0.000
```

## Properties
The value obtained for the magnetization is 0.00 μB/f.u. The value obtained for the relative energy among the computed polymorphs is 0 meV/atom. The final energy is -4.67 eV per atom. The crystal system is monoclinic. As for the symmetry: No. 12.

=====

- Which value of magnetization does entry 1 give?
  0.00 μB/f.u.

=====

What did the second record say?
A plane-wave DFT calculation with GGA-PBE was carried out for a relaxed structure of PmNd5Dy6.

Geometry as extended XYZ:
```
12
Lattice="11.806 -1.163 0.000 1.698 6.033 0.000 0.849 3.017 5.427" Properties=species:S:1:pos:R:3 pbc="T T T"
Nd 6.752 2.435 0.000
Nd 7.600 5.452 1.809
Nd 1.698 6.033 3.618
Nd 6.752 2.435 3.618
Nd 0.849 3.017 1.809
Dy 3.374 1.219 0.000
Dy 10.129 3.651 0.000
Dy 9.280 0.633 1.808
Dy 4.223 4.238 1.808
Dy 5.072 7.254 3.619
Dy 10.129 3.649 3.619
Pm 0.000 0.000 0.000
```

## Properties
The value obtained for the magnetization is 0.00 μB/f.u. The value obtained for the relative energy among the computed polymorphs is 0 meV/atom. The final energy is -4.67 eV per atom. The crystal system is monoclinic. As for the symmetry: No. 12.

=====

- Which of these has the lowest final energy?
  Nd4Ni2Bi